## Al2Fe2As (PBE)

Data for a geometry-optimized Al2Fe2As structure.

a b c (Å): 6.4730 6.4730 6.4730
angles (deg): 148.44 148.44 45.23
Atoms (fractional coordinates):
Al 0.2500 0.7500 0.5000
Al 0.7500 0.2500 0.5000
Fe 0.0999 0.0999 0.0000
Fe 0.9001 0.9001 0.0000
As 0.5000 0.5000 0.0000

Energy relative to the lowest polymorph listed for this composition = 285.3 meV/atom
Space-group type = I4/mmm, No. 139
M_tot = 0.6520 μB/atom
Theoretical density = 5.39 g cm⁻³
Energy of formation from the pure elements = 0.82 eV per formula unit
DOS(E_F) = 5.34 states/eV/f.u.

## Mg3TiH (PBE)

Data for a geometry-optimized Mg3TiH structure.

a b c (Å): 4.3702 4.3702 4.3702
angles (deg): 90.00 90.00 90.00
Atoms (fractional coordinates):
Mg 0.0000 0.0000 0.5000
Mg 0.0000 0.5000 0.0000
Mg 0.5000 0.0000 0.0000
Ti 0.5000 0.5000 0.5000
H 0.0000 0.0000 0.0000

Energy relative to the lowest polymorph listed for this composition = 0.0 meV/atom
Space-group type = Pm-3m, No. 221
M_tot = 0.0000 μB/atom
Theoretical density = 2.42 g cm⁻³
DOS(E_F) = 10.17 states/eV/f.u.